# 1
A geometry-optimized MoBrCl4 structure. Source: OQMD, functional PBE.

POSCAR file:
```
MoBrCl4
1.0
6.355 0.000 0.000
-3.009 6.191 0.000
-0.175 -3.385 8.789
Br Cl Mo
2 8 2
direct
0.746 0.809 0.046
0.254 0.191 0.954
0.891 0.375 0.148
0.297 0.012 0.244
0.434 0.567 0.336
0.937 0.191 0.428
0.063 0.809 0.572
0.566 0.433 0.664
0.703 0.988 0.756
0.109 0.625 0.852
0.108 0.220 0.221
0.892 0.780 0.779
```

## Properties
Space-group type: No. 2

---

# 2
A geometry-optimized MoBr3Cl2 structure. Source: OQMD, functional PBE.

POSCAR file:
```
MoBr3Cl2
1.0
-0.640 -6.471 -0.241
6.590 2.416 0.909
-4.599 0.317 8.372
Cl Mo Br
4 2 6
direct
0.291 0.010 0.237
0.709 0.990 0.763
0.226 0.170 0.958
0.774 0.830 0.042
0.103 0.211 0.211
0.897 0.789 0.789
0.876 0.377 0.141
0.447 0.571 0.332
0.930 0.185 0.431
0.070 0.815 0.569
0.553 0.429 0.668
0.124 0.623 0.859
```

## Properties
Space-group type: No. 2

---

# 3
A geometry-optimized MoBr4Cl structure. Source: OQMD, functional PBE.

POSCAR file:
```
MoBr4Cl
1.0
-3.367 4.168 3.867
-2.435 -0.685 -6.691
-3.081 -7.676 5.239
Br Cl Mo
8 2 2
direct
0.758 0.818 0.044
0.302 0.003 0.243
0.440 0.573 0.334
0.929 0.190 0.428
0.071 0.810 0.572
0.560 0.427 0.666
0.698 0.997 0.757
0.242 0.182 0.956
0.895 0.364 0.144
0.105 0.636 0.856
0.106 0.215 0.215
0.894 0.785 0.785
```

## Properties
Space-group type: No. 2

---

# 4
A geometry-optimized MoBrCl4 structure. Source: OQMD, functional PBE.

POSCAR file:
```
MoBrCl4
1.0
6.303 0.000 0.000
-3.031 6.156 0.000
-0.233 -3.392 8.737
Br Cl Mo
2 8 2
direct
0.928 0.190 0.436
0.072 0.810 0.564
0.763 0.821 0.044
0.886 0.368 0.140
0.297 0.006 0.239
0.437 0.563 0.328
0.563 0.437 0.672
0.703 0.994 0.761
0.114 0.632 0.860
0.237 0.179 0.956
0.106 0.213 0.213
0.894 0.787 0.787
```

## Properties
Space-group type: No. 2

---

Number 1: excess energy over the best structure of this formula in the dataset 2 kJ/mol of formula units, calculated total energy -4.032 eV/atom. Number 2: excess energy over the best structure of this formula in the dataset 2 kJ/mol of formula units, calculated total energy -3.841 eV/atom. Number 3: excess energy over the best structure of this formula in the dataset 0 kJ/mol of formula units, calculated total energy -3.744 eV/atom. Number 4: excess energy over the best structure of this formula in the dataset 0 kJ/mol of formula units, calculated total energy -4.036 eV/atom.